(w)
VASP calculation (PBE) on a relaxed Sr2CdSn crystal.

Output
Volume = 130.5 Å³ per cell

Cell lengths 5.693, 5.693, 5.693 Å; angles 60.00, 60.00, 60.00 degrees
Fractional coordinates of all 4 atoms:
Sr  0.250  0.250  0.250
Sr  0.750  0.750  0.750
Cd  0.000  0.000  0.000
Sn  0.500  0.500  0.500



(x)
VASP calculation (PBE) on a relaxed Sr2CdSn crystal.

Output
Volume = 261.8 Å³ per cell

Cell lengths 6.984, 6.984, 6.984 Å; angles 110.53, 106.66, 111.26 degrees
Fractional coordinates of all 8 atoms:
Sr  0.253  0.000  0.753
Sr  0.253  0.500  0.253
Sr  0.747  0.000  0.247
Sr  0.747  0.500  0.747
Cd  0.245  0.495  0.750
Cd  0.755  0.505  0.250
Sn  0.245  0.995  0.250
Sn  0.755  0.005  0.750



Last place for stability: (x)



(w)
VASP calculation (PBE) on a relaxed ZnCdSnTe3 crystal.

Output
Volume = 345.0 Å³ per cell

Cell lengths 8.004, 8.004, 10.321 Å; angles 90.00, 90.00, 148.55 degrees
Fractional coordinates of all 12 atoms:
Zn  0.000  0.000  0.000
Zn  0.000  0.000  0.500
Cd  0.471  0.529  0.750
Cd  0.529  0.471  0.250
Sn  0.229  0.771  0.250
Sn  0.771  0.229  0.750
Te  0.086  0.914  0.750
Te  0.351  0.649  0.548
Te  0.351  0.649  0.952
Te  0.649  0.351  0.048
Te  0.649  0.351  0.452
Te  0.914  0.086  0.250



(x)
VASP calculation (PBE) on a relaxed ZnCdSnTe3 crystal.

Output
Volume = 346.5 Å³ per cell

Cell lengths 7.497, 7.497, 11.312 Å; angles 90.00, 90.00, 146.98 degrees
Fractional coordinates of all 12 atoms:
Zn  0.027  0.973  0.750
Zn  0.973  0.027  0.250
Cd  0.500  0.500  0.000
Cd  0.500  0.500  0.500
Sn  0.267  0.733  0.250
Sn  0.733  0.267  0.750
Te  0.144  0.856  0.566
Te  0.144  0.856  0.934
Te  0.411  0.589  0.750
Te  0.589  0.411  0.250
Te  0.856  0.144  0.066
Te  0.856  0.144  0.434



Last place for stability: (w)



(w)
VASP calculation (PBE) on a relaxed SrCd4 crystal.

Output
Volume = 793.1 Å³ per cell

Cell lengths 10.415, 10.415, 8.442 Å; angles 90.00, 90.00, 120.00 degrees
Fractional coordinates of all 30 atoms:
Sr  0.052  0.526  0.250
Sr  0.474  0.526  0.250
Sr  0.474  0.948  0.250
Sr  0.526  0.052  0.750
Sr  0.526  0.474  0.750
Sr  0.948  0.474  0.750
Cd  0.000  0.000  0.000
Cd  0.000  0.000  0.500
Cd  0.114  0.228  0.250
Cd  0.114  0.886  0.250
Cd  0.174  0.349  0.568
Cd  0.174  0.349  0.932
Cd  0.174  0.826  0.568
Cd  0.174  0.826  0.932
Cd  0.228  0.114  0.750
Cd  0.333  0.667  0.560
Cd  0.333  0.667  0.940
Cd  0.349  0.174  0.068
Cd  0.349  0.174  0.432
Cd  0.651  0.826  0.568
Cd  0.651  0.826  0.932
Cd  0.667  0.333  0.060
Cd  0.667  0.333  0.440
Cd  0.772  0.886  0.250
Cd  0.826  0.174  0.068
Cd  0.826  0.174  0.432
Cd  0.826  0.651  0.068
Cd  0.826  0.651  0.432
Cd  0.886  0.114  0.750
Cd  0.886  0.772  0.750



(x)
VASP calculation (PBE) on a relaxed SrCd4 crystal.

Output
Volume = 132.7 Å³ per cell

Cell lengths 6.913, 6.913, 6.913 Å; angles 140.48, 140.48, 57.13 degrees
Fractional coordinates of all 5 atoms:
Sr  0.000  0.000  0.000
Cd  0.250  0.750  0.500
Cd  0.388  0.388  0.000
Cd  0.612  0.612  0.000
Cd  0.750  0.250  0.500



Last place for stability: (x)



(w)
VASP calculation (PBE) on a relaxed SrZnCdTe3 crystal.

Output
Volume = 365.2 Å³ per cell

Cell lengths 7.619, 7.619, 11.588 Å; angles 90.00, 90.00, 147.12 degrees
Fractional coordinates of all 12 atoms:
Sr  0.229  0.771  0.750
Sr  0.771  0.229  0.250
Zn  0.000  0.000  0.000
Zn  0.000  0.000  0.500
Cd  0.478  0.522  0.250
Cd  0.522  0.478  0.750
Te  0.100  0.900  0.250
Te  0.369  0.631  0.050
Te  0.369  0.631  0.450
Te  0.631  0.369  0.550
Te  0.631  0.369  0.950
Te  0.900  0.100  0.750



(x)
VASP calculation (PBE) on a relaxed SrZnCdTe3 crystal.

Output
Volume = 364.9 Å³ per cell

Cell lengths 7.582, 7.582, 11.559 Å; angles 90.00, 90.00, 146.70 degrees
Fractional coordinates of all 12 atoms:
Sr  0.242  0.758  0.750
Sr  0.758  0.242  0.250
Zn  0.466  0.534  0.250
Zn  0.534  0.466  0.750
Cd  0.000  0.000  0.000
Cd  0.000  0.000  0.500
Te  0.079  0.921  0.250
Te  0.360  0.640  0.062
Te  0.360  0.640  0.438
Te  0.640  0.360  0.562
Te  0.640  0.360  0.938
Te  0.921  0.079  0.750



Last place for stability: (w)



(w)
VASP calculation (PBE) on a relaxed TmCdTc crystal.

Output
Volume = 73.9 Å³ per cell

Cell lengths 4.711, 4.711, 4.711 Å; angles 60.00, 60.00, 60.00 degrees
Fractional coordinates of all 3 atoms:
Tm  0.000  0.000  0.000
Cd  0.750  0.750  0.750
Tc  0.250  0.250  0.250



(x)
VASP calculation (PBE) on a relaxed TmCdTc crystal.

Output
Volume = 70.1 Å³ per cell

Cell lengths 4.629, 4.629, 4.629 Å; angles 60.00, 60.00, 60.00 degrees
Fractional coordinates of all 3 atoms:
Tm  0.000  0.000  0.000
Cd  0.750  0.750  0.750
Tc  0.500  0.500  0.500



Last place for stability: (w)



(w)
VASP calculation (PBE) on a relaxed TmTlCdTe3 crystal.

Output
Volume = 401.7 Å³ per cell

Cell lengths 9.820, 9.820, 9.822 Å; angles 103.02, 103.02, 25.84 degrees
Fractional coordinates of all 12 atoms:
Tm  0.175  0.175  0.086
Tm  0.825  0.825  0.914
Tl  0.138  0.138  0.570
Tl  0.862  0.862  0.430
Cd  0.480  0.480  0.782
Cd  0.520  0.520  0.218
Te  0.000  0.000  0.000
Te  0.326  0.326  0.700
Te  0.337  0.337  0.135
Te  0.500  0.500  0.500
Te  0.663  0.663  0.865
Te  0.674  0.674  0.300



(x)
VASP calculation (PBE) on a relaxed TmTlCdTe3 crystal.

Output
Volume = 414.5 Å³ per cell

Cell lengths 8.799, 4.437, 11.159 Å; angles 90.00, 107.92, 90.00 degrees
Fractional coordinates of all 12 atoms:
Tm  0.185  0.250  0.140
Tm  0.815  0.750  0.860
Tl  0.247  0.750  0.722
Tl  0.753  0.250  0.278
Cd  0.424  0.750  0.389
Cd  0.576  0.250  0.611
Te  0.055  0.250  0.857
Te  0.242  0.250  0.440
Te  0.428  0.750  0.138
Te  0.572  0.250  0.862
Te  0.758  0.750  0.560
Te  0.945  0.750  0.143



(y)
VASP calculation (PBE) on a relaxed TmTlCdTe3 crystal.

Output
Volume = 794.2 Å³ per cell

Cell lengths 11.631, 4.437, 15.390 Å; angles 90.00, 90.00, 90.00 degrees
Fractional coordinates of all 24 atoms:
Tm  0.013  0.250  0.248
Tm  0.487  0.750  0.748
Tm  0.513  0.250  0.252
Tm  0.987  0.750  0.752
Tl  0.235  0.750  0.511
Tl  0.265  0.250  0.011
Tl  0.735  0.750  0.989
Tl  0.765  0.250  0.489
Cd  0.240  0.250  0.714
Cd  0.260  0.750  0.214
Cd  0.740  0.250  0.786
Cd  0.760  0.750  0.286
Te  0.035  0.250  0.617
Te  0.059  0.750  0.113
Te  0.238  0.750  0.831
Te  0.262  0.250  0.331
Te  0.441  0.250  0.613
Te  0.465  0.750  0.117
Te  0.535  0.250  0.883
Te  0.559  0.750  0.387
Te  0.738  0.750  0.669
Te  0.762  0.250  0.169
Te  0.941  0.250  0.887
Te  0.965  0.750  0.383



(z)
VASP calculation (PBE) on a relaxed TmTlCdTe3 crystal.

Output
Volume = 756.5 Å³ per cell

Cell lengths 8.680, 4.709, 18.505 Å; angles 90.00, 90.00, 90.00 degrees
Fractional coordinates of all 24 atoms:
Tm  0.234  0.250  0.039
Tm  0.266  0.750  0.539
Tm  0.734  0.250  0.461
Tm  0.766  0.750  0.961
Tl  0.058  0.250  0.804
Tl  0.442  0.750  0.304
Tl  0.558  0.250  0.696
Tl  0.942  0.750  0.196
Cd  0.083  0.250  0.341
Cd  0.417  0.750  0.841
Cd  0.583  0.250  0.159
Cd  0.917  0.750  0.659
Te  0.004  0.250  0.576
Te  0.126  0.750  0.944
Te  0.234  0.250  0.205
Te  0.266  0.750  0.705
Te  0.374  0.250  0.444
Te  0.496  0.750  0.076
Te  0.504  0.250  0.924
Te  0.626  0.750  0.556
Te  0.734  0.250  0.295
Te  0.766  0.750  0.795
Te  0.874  0.250  0.056
Te  0.996  0.750  0.424



Last place for stability: (z)



(w)
VASP calculation (PBE) on a relaxed YTlCdTe3 crystal.

Output
Volume = 802.1 Å³ per cell

Cell lengths 11.703, 4.464, 15.353 Å; angles 90.00, 90.00, 90.00 degrees
Fractional coordinates of all 24 atoms:
Y  0.008  0.250  0.249
Y  0.492  0.750  0.749
Y  0.508  0.250  0.251
Y  0.992  0.750  0.751
Tl  0.241  0.750  0.511
Tl  0.259  0.250  0.011
Tl  0.741  0.750  0.989
Tl  0.759  0.250  0.489
Cd  0.244  0.250  0.714
Cd  0.256  0.750  0.214
Cd  0.744  0.250  0.786
Cd  0.756  0.750  0.286
Te  0.042  0.250  0.614
Te  0.057  0.750  0.112
Te  0.242  0.750  0.832
Te  0.258  0.250  0.332
Te  0.443  0.250  0.612
Te  0.458  0.750  0.114
Te  0.542  0.250  0.886
Te  0.557  0.750  0.388
Te  0.742  0.750  0.668
Te  0.758  0.250  0.168
Te  0.943  0.250  0.888
Te  0.958  0.750  0.386



(x)
VASP calculation (PBE) on a relaxed YTlCdTe3 crystal.

Output
Volume = 800.8 Å³ per cell

Cell lengths 12.946, 4.565, 13.550 Å; angles 90.00, 90.00, 90.00 degrees
Fractional coordinates of all 24 atoms:
Y  0.028  0.250  0.178
Y  0.472  0.750  0.678
Y  0.528  0.250  0.322
Y  0.972  0.750  0.822
Tl  0.171  0.250  0.491
Tl  0.329  0.750  0.991
Tl  0.671  0.250  0.009
Tl  0.829  0.750  0.509
Cd  0.247  0.750  0.298
Cd  0.253  0.250  0.798
Cd  0.747  0.750  0.202
Cd  0.753  0.250  0.702
Te  0.030  0.750  0.341
Te  0.089  0.250  0.935
Te  0.234  0.750  0.672
Te  0.266  0.250  0.172
Te  0.411  0.750  0.435
Te  0.470  0.250  0.841
Te  0.530  0.750  0.159
Te  0.589  0.250  0.565
Te  0.734  0.750  0.828
Te  0.766  0.250  0.328
Te  0.911  0.750  0.065
Te  0.970  0.250  0.659



Last place for stability: (x)